TlTcF6, optimized geometry, DFT PBE; final energy = -4.986 eV per atom
1.0
5.176 0.000 0.000
2.579 4.493 0.000
2.572 1.496 4.944
F Tl Tc
6 1 1
Direct
0.167 0.021 0.223
0.591 0.166 0.223
0.979 0.409 0.777
0.409 0.834 0.777
0.021 0.591 0.223
0.833 0.979 0.777
0.500 0.500 0.500
0.000 0.000 0.000

***

NaUTlSe3, optimized geometry, DFT PBE; final energy = -5.163 eV per atom
1.0
1.452 2.221 7.260
-4.735 -3.542 -4.979
5.481 -10.151 2.008
Se U Tl Na
6 2 2 2
Direct
0.473 0.527 0.250
0.127 0.873 0.486
0.873 0.127 0.514
0.527 0.473 0.750
0.127 0.873 0.014
0.873 0.127 0.986
0.500 0.500 0.000
0.500 0.500 0.500
0.179 0.821 0.750
0.821 0.179 0.250
0.890 0.110 0.750
0.110 0.890 0.250

***

ZnH14C20N2O6, optimized geometry, DFT PBE; final energy = -6.799 eV per atom
1.0
-9.032 4.553 -0.285
4.751 -3.367 -8.276
-3.241 -8.848 3.180
O C Zn H N
12 40 2 28 4
Direct
0.380 0.223 0.301
0.223 0.380 0.801
0.257 0.907 0.793
0.118 0.163 0.473
0.056 0.212 0.168
0.212 0.056 0.668
0.919 0.072 0.644
0.163 0.118 0.973
0.021 0.810 0.330
0.810 0.021 0.830
0.072 0.919 0.144
0.907 0.257 0.293
0.897 0.694 0.616
0.807 0.049 0.710
0.446 0.747 0.191
0.669 0.446 0.920
0.819 0.696 0.826
0.544 0.013 0.697
0.551 0.297 0.139
0.684 0.106 0.511
0.684 0.322 0.948
0.588 0.490 0.999
0.626 0.248 0.056
0.446 0.669 0.420
0.049 0.807 0.210
0.118 0.561 0.946
0.529 0.742 0.311
0.289 0.992 0.704
0.742 0.529 0.811
0.992 0.289 0.204
0.423 0.027 0.633
0.106 0.684 0.011
0.430 0.078 0.508
0.696 0.819 0.326
0.493 0.228 0.260
0.078 0.430 0.008
0.675 0.055 0.637
0.822 0.528 0.592
0.528 0.415 0.107
0.490 0.588 0.499
0.228 0.493 0.760
0.248 0.626 0.556
0.055 0.675 0.137
0.528 0.822 0.092
0.027 0.423 0.133
0.013 0.544 0.197
0.694 0.897 0.116
0.561 0.118 0.446
0.415 0.528 0.607
0.322 0.684 0.448
0.297 0.551 0.639
0.747 0.446 0.691
0.047 0.024 0.777
0.024 0.047 0.277
0.825 0.769 0.919
0.747 0.287 0.888
0.691 0.316 0.677
0.569 0.582 0.975
0.974 0.538 0.295
0.825 0.464 0.497
0.538 0.974 0.795
0.128 0.174 0.033
0.316 0.691 0.177
0.035 0.152 0.523
0.287 0.747 0.388
0.582 0.569 0.475
0.788 0.141 0.466
0.763 0.961 0.041
0.205 0.685 0.794
0.090 0.337 0.959
0.961 0.763 0.541
0.641 0.153 0.077
0.462 0.446 0.168
0.769 0.825 0.419
0.464 0.825 0.997
0.685 0.205 0.294
0.337 0.090 0.459
0.446 0.462 0.668
0.153 0.641 0.577
0.152 0.035 0.023
0.174 0.128 0.533
0.141 0.788 0.966
0.580 0.176 0.325
0.896 0.776 0.733
0.176 0.580 0.825
0.776 0.896 0.233

***

Hf2Si3Mo4N3, optimized geometry, DFT PBE; final energy = -9.276 eV per atom
1.0
4.582 -2.701 0.000
4.582 2.701 0.000
-3.045 0.000 12.789
N Hf Mo Si
6 4 8 6
Direct
0.350 0.799 0.000
0.799 0.350 0.500
0.201 0.650 0.500
0.500 0.000 0.500
0.000 0.500 0.000
0.650 0.201 0.000
0.367 0.534 0.110
0.466 0.633 0.390
0.633 0.466 0.890
0.534 0.367 0.610
0.822 0.948 0.412
0.295 0.123 0.911
0.705 0.877 0.089
0.052 0.178 0.088
0.178 0.052 0.588
0.948 0.822 0.912
0.123 0.295 0.411
0.877 0.705 0.589
0.422 0.154 0.251
0.578 0.846 0.749
0.846 0.578 0.249
0.154 0.422 0.751
0.011 0.989 0.250
0.989 0.011 0.750

***

DyTmGa4, optimized geometry, DFT PBE; distance to the lowest polymorph of the same formula = 0 meV per atom
1.0
2.044 -9.298 0.000
2.044 9.298 0.000
0.000 0.000 6.435
Ga Tm Dy
8 2 2
Direct
0.854 0.146 0.543
0.000 0.000 0.500
0.146 0.854 0.043
0.000 0.000 0.000
0.571 0.429 0.250
0.429 0.571 0.750
0.146 0.854 0.457
0.854 0.146 0.957
0.265 0.735 0.750
0.735 0.265 0.250
0.590 0.410 0.750
0.410 0.590 0.250

***

LiHo2, optimized geometry, DFT PBE; distance to the lowest polymorph of the same formula = 1488 meV per atom
1.0
-1.665 6.630 4.726
4.491 6.941 -0.849
-3.418 6.771 -3.396
Ho Li
4 2
Direct
0.875 0.375 0.375
0.375 0.375 0.375
0.375 0.375 0.875
0.375 0.875 0.375
0.500 0.500 0.500
0.250 0.250 0.250

***

NaAu3Se2, optimized geometry, DFT PBE; final energy = -3.245 eV per atom
1.0
-3.461 -6.372 4.374
-0.155 -5.498 6.439
-3.468 7.329 2.451
Au Se Na
6 4 2
Direct
0.697 0.697 0.890
0.371 0.371 0.859
0.940 0.940 0.093
0.303 0.303 0.110
0.060 0.060 0.907
0.629 0.629 0.141
0.499 0.499 0.704
0.778 0.778 0.685
0.222 0.222 0.315
0.501 0.501 0.296
0.122 0.122 0.566
0.878 0.878 0.434

***

RbZnAu2, optimized geometry, DFT PBE; final energy = -2.462 eV per atom
1.0
4.582 0.000 0.000
0.000 7.621 0.000
0.000 0.000 6.601
Zn Au Rb
2 4 2
Direct
0.500 0.000 0.915
0.000 0.500 0.085
0.000 0.816 0.901
0.000 0.184 0.901
0.500 0.684 0.099
0.500 0.316 0.099
0.500 0.500 0.610
0.000 0.000 0.390

***

Repeat the first record exactly.
TlTcF6, optimized geometry, DFT PBE; final energy = -4.986 eV per atom
1.0
5.176 0.000 0.000
2.579 4.493 0.000
2.572 1.496 4.944
F Tl Tc
6 1 1
Direct
0.167 0.021 0.223
0.591 0.166 0.223
0.979 0.409 0.777
0.409 0.834 0.777
0.021 0.591 0.223
0.833 0.979 0.777
0.500 0.500 0.500
0.000 0.000 0.000